Record 1
The following is a DFT calculation (PBE-GGA) of a relaxed structure of Na7Tl2In2.

## Properties
The value obtained for the total energy is -1.79 eV/atom. The energy relative to the elements comes out at -0.02 eV per atom. The value obtained for the spin magnetization is 0.00 Bohr magnetons per cell. For the density of states at the Fermi level, the calculation gives 4.8 states/eV/f.u. As for the symmetry: C2/m (12).

Cell: 6.5437 7.8686 7.8686 Å, 115.89 96.89 96.89°
Fractional positions:
In: 0.6475 0.6653 0.6653
Tl: 0.0000 0.8837 0.1163
Na: 0.1486 0.6742 0.6742
Na: 0.8514 0.3258 0.3258
Na: 0.2748 0.5687 0.0957
Na: 0.7252 0.4313 0.9043
In: 0.3525 0.3347 0.3347
Tl: 0.0000 0.1163 0.8837
Na: 0.2748 0.0957 0.5687
Na: 0.5000 0.0000 0.0000
Na: 0.7252 0.9043 0.4313

---

Record 2
The following is a DFT calculation (PBE-GGA) of a relaxed structure of Na3Tl4In3.

## Properties
The value obtained for the total energy is -2.19 eV/atom. The energy relative to the elements comes out at -0.02 eV per atom. The value obtained for the spin magnetization is 0.00 Bohr magnetons per cell. For the density of states at the Fermi level, the calculation gives 5.0 states/eV/f.u. As for the symmetry: Amm2 (38).

Cell: 4.7339 7.9807 7.9807 Å, 88.80 90.00 90.00°
Fractional positions:
Tl: 0.0000 0.8749 0.8445
In: 0.0000 0.9931 0.4807
Na: 0.5000 0.8383 0.1617
Tl: 0.0000 0.3419 0.6581
In: 0.0000 0.5193 0.0069
Na: 0.5000 0.3288 0.3405
Tl: 0.0000 0.6306 0.3694
In: 0.5000 0.1581 0.8419
Tl: 0.0000 0.1555 0.1251
Na: 0.5000 0.6595 0.6712

---

Record 3
The following is a DFT calculation (PBE-GGA) of a relaxed structure of Na5Tl4In4.

## Properties
The value obtained for the total energy is -2.15 eV/atom. The energy relative to the elements comes out at -0.07 eV per atom. The value obtained for the spin magnetization is 0.00 Bohr magnetons per cell. For the density of states at the Fermi level, the calculation gives 6.1 states/eV/f.u. As for the symmetry: I4/m (87).

Cell: 4.7470 9.3445 9.3445 Å, 86.30 75.29 75.29°
Fractional positions:
Na: 0.0000 0.0000 0.0000
In: 0.5803 0.3164 0.5229
Tl: 0.9325 0.8326 0.3025
Na: 0.6255 0.6637 0.0853
Tl: 0.2350 0.6975 0.8326
Tl: 0.0675 0.1674 0.6975
Tl: 0.7650 0.3025 0.1674
Na: 0.7108 0.9147 0.6637
In: 0.8968 0.5229 0.6836
Na: 0.2892 0.0853 0.3363
Na: 0.3745 0.3363 0.9147
In: 0.4197 0.6836 0.4771
In: 0.1032 0.4771 0.3164